1.
Below is a PBEsol-optimized structure of Hf2Be2Tc, with properties calculated at the meta-GGA SCAN level.

Cell and atoms, written as POSCAR:
```
Hf2Be2Tc
1.0
3.4687 0.0000 0.0000
0.0000 6.4119 0.0000
0.0000 0.0000 6.4119
Be Hf Tc
4 4 2
Cartesian
0.0000 0.7423 2.4636 Be
0.0000 2.4636 5.6696 Be
0.0000 3.9483 0.7423 Be
0.0000 5.6696 3.9483 Be
1.7344 4.3805 5.2373 Hf
1.7344 5.2373 2.0314 Hf
1.7344 2.0314 1.1746 Hf
1.7344 1.1746 4.3805 Hf
0.0000 3.2059 3.2059 Tc
0.0000 0.0000 0.0000 Tc
```

## Properties
The calculation puts the volume at 14.26 Å³/atom. The value obtained for the total energy is -34.10 eV per atom. As for the space group: No. 127. The calculation puts the energy of formation at -0.273 eV per atom. As for the density of states at the Fermi level: 9.267 states/eV/cell.

2.
Below is a PBEsol-optimized structure of CdNiBr4, with properties calculated at the meta-GGA SCAN level.

Cell and atoms, written as POSCAR:
```
CdNiBr4
1.0
6.0446 0.0000 0.0000
3.0223 5.2348 0.0000
3.0223 1.7449 4.9354
Br Cd Ni
4 1 1
Cartesian
7.5545 2.6181 1.8513 Br
6.0446 5.2334 1.8513 Br
6.0446 3.4898 4.3170 Br
4.5347 2.6181 1.8513 Br
9.0669 5.2348 3.7015 Cd
0.0000 0.0000 0.0000 Ni
```

## Properties
The calculation puts the volume at 26.03 Å³/atom. The value obtained for the total energy is -19.81 eV per atom. As for the space group: No. 216. The uncorrected formation energy is 0.925 eV per atom. As for the density of states at the Fermi level: 7.822 states/eV/cell.

3.
Below is a PBEsol-optimized structure of CaY2TePb, with properties calculated at the meta-GGA SCAN level.

Cell and atoms, written as POSCAR:
```
CaY2TePb
1.0
5.7023 0.0000 0.0000
0.0000 5.7023 0.0000
0.0000 0.0000 5.7080
Pb Te Y Ca
1 1 2 1
Cartesian
0.0000 0.0000 0.0000 Pb
2.8511 2.8511 2.8540 Te
0.0000 2.8511 0.0000 Y
2.8511 0.0000 0.0000 Y
0.0000 0.0000 2.8540 Ca
```

## Properties
The calculation puts the volume at 37.12 Å³/atom. The value obtained for the total energy is -35.90 eV per atom. As for the space group: No. 123. The uncorrected formation energy is -0.221 eV per atom. As for the density of states at the Fermi level: 5.225 states/eV/cell.

4.
Below is a PBEsol-optimized structure of YZr2P, with properties calculated at the meta-GGA SCAN level.

Cell and atoms, written as POSCAR:
```
YZr2P
1.0
3.5694 0.0000 0.0000
0.0000 4.6566 0.0000
-1.7847 -2.3283 4.9789
Y Zr P
1 2 1
Cartesian
0.0000 2.3283 0.0000 Y
1.7847 2.3283 2.7796 Zr
0.0000 0.0000 2.1993 Zr
1.7847 0.0000 0.0000 P
```

## Properties
The calculation puts the volume at 20.69 Å³/atom. The value obtained for the total energy is -25.34 eV per atom. As for the space group: No. 71. The calculation puts the energy of formation at -0.431 eV per atom. As for the density of states at the Fermi level: 3.791 states/eV/cell.

5.
Below is a PBEsol-optimized structure of BaMgCl2, with properties calculated at the meta-GGA SCAN level.

Cell and atoms, written as POSCAR:
```
BaMgCl2
1.0
5.3976 0.0000 0.0000
2.6988 4.6745 0.0000
2.6988 1.5582 4.4072
Cl Ba Mg
2 1 1
Cartesian
2.6988 1.5582 1.1018 Cl
8.0965 4.6745 3.3054 Cl
0.0000 0.0000 0.0000 Ba
5.3976 3.1163 2.2036 Mg
```

## Properties
The calculation puts the volume at 27.80 Å³/atom. The value obtained for the total energy is -16.69 eV per atom. As for the space group: No. 225. The polymorph energy (0 for the lowest one) comes out at 0.080 eV per atom. The uncorrected formation energy is -1.572 eV per atom.

6.
Below is a PBEsol-optimized structure of HfIr3, with properties calculated at the meta-GGA SCAN level.

Cell and atoms, written as POSCAR:
```
HfIr3
1.0
-0.7053 -3.8470 -0.2343
2.1639 -0.5923 3.2122
-3.1893 0.4489 2.2312
Hf Ir
1 3
Cartesian
0.0000 0.0000 0.0000 Hf
-1.9473 -1.6990 0.9985 Ir
-0.5127 -0.0717 2.7217 Ir
0.7293 -2.2196 1.4890 Ir
```

## Properties
The calculation puts the volume at 15.04 Å³/atom. The value obtained for the total energy is -69.97 eV per atom. As for the space group: No. 221. The calculation puts the energy of formation at -0.973 eV per atom. As for the density of states at the Fermi level: 2.683 states/eV/cell.

7.
Below is a PBEsol-optimized structure of Na2PSeBr, with properties calculated at the meta-GGA SCAN level.

Cell and atoms, written as POSCAR:
```
Na2PSeBr
1.0
5.0024 0.0000 0.0000
0.0000 5.1703 0.0000
0.0000 0.0000 5.1703
Na P Br Se
2 1 1 1
Cartesian
0.0000 0.0000 2.5852 Na
0.0000 2.5852 0.0000 Na
2.5012 0.0000 0.0000 P
0.0000 0.0000 0.0000 Br
2.5012 2.5852 2.5852 Se
```

## Properties
The calculation puts the volume at 26.75 Å³/atom. The value obtained for the total energy is -11.77 eV per atom. As for the space group: No. 123. The uncorrected formation energy is -0.096 eV per atom. As for the density of states at the Fermi level: 2.131 states/eV/cell.

8.
Below is a PBEsol-optimized structure of ScCr2Cl, with properties calculated at the meta-GGA SCAN level.

Cell and atoms, written as POSCAR:
```
ScCr2Cl
1.0
-2.6333 0.9176 -1.3255
-2.5518 -0.7909 4.5219
2.1487 4.6990 -1.0157
Cr Sc Cl
2 1 1
Cartesian
-0.2015 1.9540 1.7531 Cr
1.0744 2.3495 -0.5078 Cr
-1.3166 0.4588 -0.6627 Sc
-2.5925 0.0633 1.5982 Cl
```

## Properties
The calculation puts the volume at 18.50 Å³/atom. The value obtained for the total energy is -14.57 eV per atom. As for the space group: No. 65. The polymorph energy (0 for the lowest one) comes out at 0.522 eV per atom. The uncorrected formation energy is 0.177 eV per atom. As for the density of states at the Fermi level: 2.888 states/eV/cell.